[1]
Below is crystalline MgTl2CoTc at its relaxed geometry, with properties calculated at the PBE level.

The density of states at the Fermi level is 0.67 states/eV/atom. For the energy of formation from the pure elements, the calculation gives 92.8 kJ per mole of atoms. The crystal system is tetragonal.

The structure belongs to space group P4/mmm (No. 123); the cell edges are 4.9431, 4.9431 and 4.7123 Å and the angles 90.00°, 90.00° and 90.00°. The inequivalent atoms are Mg at (0.0000, 0.0000, 0.0000), Tl at (0.0000, 0.5000, 0.5000), Co at (0.0000, 0.0000, 0.5000) and Tc at (0.5000, 0.5000, 0.0000).

---

[2]
Below is crystalline SrFePt2 at its relaxed geometry, with properties calculated at the PBE level.

The density of states at the Fermi level is 1.05 states/eV/atom. For the energy of formation from the pure elements, the calculation gives -41.7 kJ per mole of atoms. The crystal system is trigonal.

The structure belongs to space group R-3m (No. 166, hexagonal axes); the cell edges are 4.4167, 4.4167 and 15.8722 Å and the angles 90.00°, 90.00° and 120.00°. The inequivalent atoms are Sr at (0.0000, 0.0000, 0.0000), Fe at (0.0000, 0.0000, 0.5000) and Pt at (0.0000, 0.0000, 0.1947).

---

[3]
Below is crystalline Ag2SnAu4 at its relaxed geometry, with properties calculated at the PBE level.

The density of states at the Fermi level is 0.36 states/eV/atom. For the energy of formation from the pure elements, the calculation gives -0.3 kJ per mole of atoms. The crystal system is monoclinic. The offset from the most stable computed form comes out at 0 meV/atom.

The structure belongs to space group P2_1/c (No. 14); the cell edges are 5.3799, 9.1248 and 5.7394 Å and the angles 90.00°, 101.23° and 90.00°. The inequivalent atoms are Ag at (0.0672, 0.0100, 0.2609), Sn at (0.5000, 0.0000, 0.0000), Au at (0.2282, 0.7354, 0.0674) and Au at (0.2926, 0.2141, 0.6282).

---

[4]
Below is crystalline CaRh2Pb at its relaxed geometry, with properties calculated at the PBE level.

The density of states at the Fermi level is 0.84 states/eV/atom. For the energy of formation from the pure elements, the calculation gives -18.5 kJ per mole of atoms. The crystal system is orthorhombic.

The structure belongs to space group Imm2 (No. 44); the cell edges are 3.9987, 4.0266 and 9.4456 Å and the angles 90.00°, 90.00° and 90.00°. The inequivalent atoms are Ca at (0.0000, 0.0000, 0.0000), Rh at (0.0000, 0.0000, 0.4999), Rh at (0.0000, 0.5000, 0.2496) and Pb at (0.0000, 0.5000, 0.7508).

---

Question: The lowest energy of formation from the pure elements belongs to which entry?
Answer: SrFePt2

---

Question: Which value of energy of formation from the pure elements does entry 4 give?
Answer: -18.5 kJ per mole of atoms